Entry 1:
! Y6HoEr12 (GGA-PBE, optimized geometry); values from VASP
&SYSTEM
  ibrav = 0, nat = 19, ntyp = 3
/
ATOMIC_SPECIES
Y 88.91 Y.upf
Ho 164.93 Ho.upf
Er 167.26 Er.upf
CELL_PARAMETERS angstrom
8.5473 -0.1345 -1.1597
-1.3096 8.4474 -1.1597
-0.1171 -0.1345 8.6248
ATOMIC_POSITIONS angstrom
Y 7.1275 2.6458 6.3116
Y 6.4636 7.4238 0.8640
Y 1.6396 7.4238 6.3116
Y 0.6569 0.7545 5.4414
Y -0.0070 5.5326 -0.0062
Y 5.4809 0.7545 -0.0062
Ho 0.0000 0.0000 0.0000
Er 6.0874 1.8889 3.1527
Er 2.8833 0.5919 2.5533
Er 2.5574 2.9373 -0.1209
Er 6.9312 5.2410 3.7522
Er 4.5631 5.2410 6.4263
Er 4.2372 7.5865 3.7522
Er 3.2546 6.2895 0.6442
Er 1.3389 4.0892 5.6613
Er 1.0331 6.2895 3.1527
Er 3.8660 1.8889 5.6613
Er 5.7817 4.0892 0.6442
Er 0.1894 2.9373 2.5533
! - ρ (Mg/m³) = 7.3
! - DOS at the Fermi energy (states/eV/cell) = 34.32
! - excess energy over the best structure of this formula in the dataset (eV/f.u.) = 0.69
! - E_form (eV/atom) = 0.22
! - VASP energy (Ha/atom) = -0.1817
! - M_tot (μB per formula unit) = 0.003

Entry 2:
! Y6Ho5Er2 (GGA-PBE, optimized geometry); values from VASP
&SYSTEM
  ibrav = 0, nat = 26, ntyp = 3
/
ATOMIC_SPECIES
Y 88.91 Y.upf
Ho 164.93 Ho.upf
Er 167.26 Er.upf
CELL_PARAMETERS angstrom
3.5640 0.0000 0.0000
0.0000 11.6159 0.0000
0.0000 0.0000 20.1784
ATOMIC_POSITIONS angstrom
Y 0.0000 0.9896 7.4487
Y 0.0000 10.6263 12.7297
Y 0.0000 6.7975 2.6405
Y 0.0000 4.8184 17.5379
Y 1.7820 3.8049 2.7442
Y 1.7820 7.8110 17.4342
Y 1.7820 9.6129 7.3450
Y 1.7820 2.0030 12.8334
Y 0.0000 6.4777 8.4468
Y 0.0000 5.1382 11.7316
Y 0.0000 0.6697 1.6424
Y 0.0000 10.9462 18.5360
Ho 1.7820 3.4998 9.0842
Ho 1.7820 8.1161 11.0942
Ho 1.7820 9.3078 1.0050
Ho 1.7820 2.3081 19.1734
Ho 1.7820 6.8553 5.4957
Ho 1.7820 4.7606 14.6826
Ho 1.7820 1.0474 4.5934
Ho 1.7820 10.5685 15.5849
Ho 1.7820 5.8080 0.0000
Ho 1.7820 0.0000 10.0892
Er 0.0000 3.8838 5.8692
Er 0.0000 7.7321 14.3092
Er 0.0000 9.6918 4.2200
Er 0.0000 1.9241 15.9584
! - ρ (Mg/m³) = 6.7
! - DOS at the Fermi energy (states/eV/cell) = 32.31
! - E_form (eV/atom) = 0.10
! - VASP energy (Ha/atom) = -0.1963
! - M_tot (μB per formula unit) = 0.000

Entry 3:
! Y9Ho4Er (GGA-PBE, optimized geometry); values from VASP
&SYSTEM
  ibrav = 0, nat = 28, ntyp = 3
/
ATOMIC_SPECIES
Y 88.91 Y.upf
Ho 164.93 Ho.upf
Er 167.26 Er.upf
CELL_PARAMETERS angstrom
-5.4307 4.8430 -8.6001
-4.4474 -8.4013 -1.9227
-4.0465 6.3382 6.1246
ATOMIC_POSITIONS angstrom
Y -6.0063 -2.8358 1.8242
Y -4.5003 -5.1947 -0.4553
Y -2.8450 -2.0679 0.2603
Y -7.9183 5.6157 -6.2224
Y -9.4243 7.9747 -3.9430
Y -11.0795 4.8479 -4.6586
Y -5.4765 3.4382 -2.3556
Y -6.9825 5.7972 -0.0762
Y -8.6378 2.6703 -0.7918
Y -8.4481 -0.6582 -2.0426
Y -6.9420 -3.0172 -4.3221
Y -5.2868 0.1096 -3.6065
Y -7.1211 3.1756 2.5959
Y -5.5884 0.7749 0.2761
Y -3.9039 3.9570 1.0044
Y -6.8035 -0.3956 -6.9941
Y -8.3362 2.0051 -4.6743
Y -10.0207 -1.1770 -5.4026
Ho -2.7438 1.6833 -1.0086
Ho -5.4485 5.9198 3.0851
Ho -8.4211 0.3043 1.7999
Ho -11.1808 1.0967 -3.3896
Ho -8.4761 -3.1398 -7.4833
Ho -5.5034 2.4756 -6.1981
Ho 0.0000 0.0000 0.0000
Ho -2.7153 2.4215 -4.3000
Er -5.6714 -2.2774 -1.3903
Er -8.2532 5.0573 -3.0079
! - ρ (Mg/m³) = 5.9
! - DOS at the Fermi energy (states/eV/cell) = 40.60
! - E_form (eV/atom) = 0.17
! - VASP energy (Ha/atom) = -0.2065
! - M_tot (μB per formula unit) = 0.001

Entry 4:
! Y2Ho6Er3 (GGA-PBE, optimized geometry); values from VASP
&SYSTEM
  ibrav = 0, nat = 11, ntyp = 3
/
ATOMIC_SPECIES
Y 88.91 Y.upf
Ho 164.93 Ho.upf
Er 167.26 Er.upf
CELL_PARAMETERS angstrom
3.5246 0.0000 0.2162
1.7557 3.0562 0.2162
-0.1740 -0.1007 31.6720
ATOMIC_POSITIONS angstrom
Y 2.8181 1.6311 11.7324
Y 2.2881 1.3244 20.3721
Ho 4.7558 2.7526 8.9822
Ho 0.3505 0.2028 23.1223
Ho 4.2256 2.4458 17.6240
Ho 0.8806 0.5097 14.4805
Ho 3.3453 1.9363 3.1393
Ho 1.7610 1.0192 28.9652
Er 0.0000 0.0000 0.0000
Er 3.6959 2.1392 26.2596
Er 1.4104 0.8163 5.8449
! - ρ (Mg/m³) = 8.1
! - DOS at the Fermi energy (states/eV/cell) = 16.17
! - excess energy over the best structure of this formula in the dataset (eV/f.u.) = 0.00
! - E_form (eV/atom) = 0.02
! - VASP energy (Ha/atom) = -0.1798
! - M_tot (μB per formula unit) = 0.000

Entry 5:
! Y3Ho4Er (GGA-PBE, optimized geometry); values from VASP
&SYSTEM
  ibrav = 0, nat = 16, ntyp = 3
/
ATOMIC_SPECIES
Y 88.91 Y.upf
Ho 164.93 Ho.upf
Er 167.26 Er.upf
CELL_PARAMETERS angstrom
-2.3414 -4.7220 3.3899
6.1803 -3.6899 -0.8710
4.0988 4.6635 9.3271
ATOMIC_POSITIONS angstrom
Y 2.3553 -5.3593 1.6446
Y 2.5943 -5.7810 5.1124
Y 2.2088 -2.4876 3.6413
Y 4.0203 0.2619 4.8324
Y 4.2564 -0.1580 8.3005
Y 4.6456 -3.4471 9.7802
Ho 5.0647 -3.9422 -0.2546
Ho -0.7549 -3.5193 2.0914
Ho -0.5092 -3.9269 5.5373
Ho 5.3180 -4.3302 3.2080
Ho 7.1176 -1.6041 4.4043
Ho 1.2916 -1.1941 6.7595
Ho 7.3583 -2.0088 7.8509
Ho 1.5493 -1.5848 10.2215
Er 1.9658 -2.0675 0.1699
Er 4.4093 -3.0309 6.3079
! - ρ (Mg/m³) = 7.1
! - DOS at the Fermi energy (states/eV/cell) = 27.12
! - excess energy over the best structure of this formula in the dataset (eV/f.u.) = 0.00
! - E_form (eV/atom) = 0.00
! - VASP energy (Ha/atom) = -0.1941
! - M_tot (μB per formula unit) = 0.000

Entry 6:
! Y3Ho4Er (GGA-PBE, optimized geometry); values from VASP
&SYSTEM
  ibrav = 0, nat = 8, ntyp = 3
/
ATOMIC_SPECIES
Y 88.91 Y.upf
Ho 164.93 Ho.upf
Er 167.26 Er.upf
CELL_PARAMETERS angstrom
3.4443 0.0000 -0.4346
-0.1681 6.4827 -1.3325
-0.2640 -0.9596 11.7741
ATOMIC_POSITIONS angstrom
Y -0.0841 3.2414 -0.6662
Y 0.2168 5.4710 1.7185
Y 2.7953 0.0521 8.2885
Ho 2.3791 1.1120 4.9898
Ho 0.6330 4.4112 5.0173
Ho 0.3009 2.1421 2.3845
Ho 2.7113 3.3811 7.6226
Er 1.7221 0.0000 -0.2173
! - ρ (Mg/m³) = 7.0
! - DOS at the Fermi energy (states/eV/cell) = 14.18
! - excess energy over the best structure of this formula in the dataset (eV/f.u.) = 1.34
! - E_form (eV/atom) = 0.17
! - VASP energy (Ha/atom) = -0.1880
! - M_tot (μB per formula unit) = 0.000

Entry 7:
! Y4Ho4Er3 (GGA-PBE, optimized geometry); values from VASP
&SYSTEM
  ibrav = 0, nat = 11, ntyp = 3
/
ATOMIC_SPECIES
Y 88.91 Y.upf
Ho 164.93 Ho.upf
Er 167.26 Er.upf
CELL_PARAMETERS angstrom
-1.1265 0.8669 3.2050
3.2186 -3.9740 2.2066
14.3090 10.0236 4.2400
ATOMIC_POSITIONS angstrom
Y 11.3574 8.3684 5.5666
Y 7.2181 3.8345 3.4203
Y 9.1809 3.0801 6.2313
Y 5.0441 -1.4518 4.0852
Ho 14.1486 7.4148 6.8086
Ho 2.2546 -0.4967 2.8434
Ho 7.4294 0.6263 4.3596
Ho 8.9707 6.2892 5.2921
Er 12.2997 4.8767 4.9261
Er 4.1020 2.0402 4.7258
Er 2.0928 -3.1065 5.4118
! - ρ (Mg/m³) = 7.3
! - DOS at the Fermi energy (states/eV/cell) = 21.73
! - excess energy over the best structure of this formula in the dataset (eV/f.u.) = 0.00
! - E_form (eV/atom) = 0.06
! - VASP energy (Ha/atom) = -0.1910
! - M_tot (μB per formula unit) = 0.000

Entry 8:
! Y2Ho5Er12 (GGA-PBE, optimized geometry); values from VASP
&SYSTEM
  ibrav = 0, nat = 19, ntyp = 3
/
ATOMIC_SPECIES
Y 88.91 Y.upf
Ho 164.93 Ho.upf
Er 167.26 Er.upf
CELL_PARAMETERS angstrom
-1.6944 4.9148 3.1819
-10.1507 -0.3692 -2.8652
6.6331 -5.1501 9.4926
ATOMIC_POSITIONS angstrom
Y -4.1184 -1.6628 7.1699
Y -1.0936 1.0582 2.6394
Ho -1.5845 -1.7380 4.7252
Ho -6.3402 -0.1555 -0.2069
Ho 3.3165 -2.5751 4.7463
Ho 1.1282 -0.4491 10.0162
Ho -3.6275 1.1334 5.0841
Er -0.7453 3.1254 5.4605
Er -2.0727 -4.5243 6.8152
Er -8.3601 2.6964 0.1512
Er -3.9737 -0.9421 2.2645
Er -5.9986 1.9116 2.6182
Er -6.5014 -0.8784 4.7021
Er 1.2894 0.2738 5.1072
Er -1.2382 0.3374 7.5448
Er 0.7866 -2.5162 7.1911
Er -3.1393 3.9197 2.9941
Er 3.1481 -3.3011 9.6581
Er -4.4667 -3.7301 4.3488
! - ρ (Mg/m³) = 8.5
! - DOS at the Fermi energy (states/eV/cell) = 27.00
! - excess energy over the best structure of this formula in the dataset (eV/f.u.) = 0.00
! - E_form (eV/atom) = 0.02
! - VASP energy (Ha/atom) = -0.1743
! - M_tot (μB per formula unit) = 0.000

Entry 9:
! Y2HoEr3 (GGA-PBE, optimized geometry); values from VASP
&SYSTEM
  ibrav = 0, nat = 12, ntyp = 3
/
ATOMIC_SPECIES
Y 88.91 Y.upf
Ho 164.93 Ho.upf
Er 167.26 Er.upf
CELL_PARAMETERS angstrom
5.5557 0.0000 0.0000
0.0000 8.8964 0.5420
0.0000 -3.8860 8.0212
ATOMIC_POSITIONS angstrom
Y 2.7390 4.4051 4.3307
Y 5.5168 3.3932 2.6013
Y 2.7390 1.6173 5.9619
Y 5.5168 0.6054 4.2325
Ho 5.5148 3.6638 6.2616
Ho 2.7369 1.3467 2.3016
Er 5.5198 6.4633 3.4430
Er 2.7419 5.1754 1.2419
Er 5.5198 -0.1649 7.3213
Er 2.7419 -1.4528 5.1202
Er 2.7352 4.5666 7.8045
Er 5.5130 0.4439 0.7587
! - ρ (Mg/m³) = 6.9
! - DOS at the Fermi energy (states/eV/cell) = 19.55
! - excess energy over the best structure of this formula in the dataset (eV/f.u.) = 1.98
! - E_form (eV/atom) = 0.36
! - VASP energy (Ha/atom) = -0.1780
! - M_tot (μB per formula unit) = 0.000